[1]
## HoEr2Sc3Sb6 (GGA-PBE)

Data for an optimized crystal structure of HoEr2Sc3Sb6.

Structure (extended XYZ):
```
12
Lattice="7.3873 -0.0022 0.0010 -3.6938 6.3975 0.0010 -1.2316 -2.1325 6.9496" Properties=species:S:1:pos:R:3 pbc="T T T"
Sb 3.6956 2.1262 5.1217
Sb 2.4671 -0.0007 1.8299
Sb -1.2336 2.1366 1.8299
Sb 2.4597 4.2589 1.8289
Sb 0.0023 0.0039 5.1227
Sb -0.0052 4.2636 5.1217
Er 3.6947 2.1304 0.0010
Er -0.0011 4.2649 0.0010
Sc 1.2310 2.1314 3.4758
Sc 4.9284 -0.0040 3.4758
Sc -2.4664 4.2668 3.4758
Ho 0.0000 0.0000 0.0000
```

Summary:
The value obtained for the density of states at the Fermi level is 2.0 states/eV/f.u. Its total magnetic moment is 0.00 μB/f.u. The total energy is -5.801 eV/atom.


[2]
## La3Nd2In4 (GGA-PBE)

Data for an optimized crystal structure of La3Nd2In4.

Structure (extended XYZ):
```
9
Lattice="5.2541 0.0000 0.0000 -2.6271 5.9536 -1.0157 0.0000 -3.9216 9.5598" Properties=species:S:1:pos:R:3 pbc="T T T"
In 2.6271 2.3281 -0.0221
In 0.0000 -0.2961 8.5663
In 2.6271 3.0117 4.9456
In 0.0000 -0.9796 3.5986
La 0.0000 0.0000 0.0000
La 0.0000 2.9234 2.3063
La 2.6271 -0.8913 6.2379
Nd 0.0000 1.5061 5.8910
Nd 2.6271 0.5260 2.6532
```

Summary:
The value obtained for the density of states at the Fermi level is 8.7 states/eV/f.u. The energy of formation from the pure elements is -0.39 eV/atom. Its total magnetic moment is 0.00 μB/f.u.


[3]
## La2AuCl2 (GGA-PBE)

Data for an optimized crystal structure of La2AuCl2.

Structure (extended XYZ):
```
5
Lattice="4.1624 0.0000 0.9699 1.9682 3.6677 0.9699 -0.3089 -0.1848 10.7419" Properties=species:S:1:pos:R:3 pbc="T T T"
Cl 4.5669 2.7322 8.6505
Cl 1.2548 0.7507 4.0313
La 2.1519 1.2874 9.5980
La 3.6698 2.1955 3.0838
Au 0.0000 0.0000 0.0000
```

Summary:
The value obtained for the density of states at the Fermi level is 3.4 states/eV/f.u. Its total magnetic moment is 0.74 μB/f.u. The total energy is -4.924 eV/atom.


[4]
## Ca2LaNi (GGA-PBE)

Data for an optimized crystal structure of Ca2LaNi.

Structure (extended XYZ):
```
4
Lattice="-4.5301 -2.9283 -0.1411 1.6197 -2.7462 4.3534 -0.2634 5.3877 0.1421" Properties=species:S:1:pos:R:3 pbc="T T T"
Ca -0.0495 -0.0978 3.3009
Ca 0.0000 0.0000 0.0000
La -1.4552 -2.8372 2.1062
Ni -3.1244 -0.1889 1.0536
```

Summary:
The value obtained for the density of states at the Fermi level is 5.1 states/eV/f.u. The energy of formation from the pure elements is 0.22 eV/atom. Its total magnetic moment is 0.00 μB/f.u.


[5]
## MgAl6Zn2 (GGA-PBE)

Data for an optimized crystal structure of MgAl6Zn2.

Structure (extended XYZ):
```
9
Lattice="-3.2453 2.6182 0.1364 -3.0802 -4.0194 3.8661 4.8662 2.5368 3.2829" Properties=species:S:1:pos:R:3 pbc="T T T"
Al -0.0788 -0.4023 5.8470
Al -2.7336 -0.3160 4.8291
Al 1.2743 1.4516 2.4563
Al -1.0216 1.8390 4.1986
Al -1.3805 1.5379 1.4384
Al -0.4377 -0.7034 3.0868
Zn -2.2150 -2.9322 3.5848
Zn 0.7557 4.0679 3.7007
Mg -3.1627 -0.7006 2.0013
```

Summary:
The value obtained for the density of states at the Fermi level is 2.3 states/eV/f.u. The energy of formation from the pure elements is 0.00 eV/atom. Its total magnetic moment is 0.00 μB/f.u.


[6]
## Ba3MgBi2O6 (GGA-PBE)

Data for an optimized crystal structure of Ba3MgBi2O6.

Structure (extended XYZ):
```
12
Lattice="-0.8277 4.0949 -4.3456 -1.0444 -5.8313 -1.1150 -6.7584 0.8171 2.0572" Properties=species:S:1:pos:R:3 pbc="T T T"
Ba -5.2081 -2.0104 -0.9025
Ba -3.4224 1.0912 -2.5009
Ba 0.0000 0.0000 0.0000
Bi -6.7201 1.4899 -1.4971
Bi -1.9104 -2.4091 -1.9063
O -2.6558 -0.9995 -0.4360
O -5.0391 0.9481 -0.2382
O -5.9747 0.0803 -2.9674
O -3.5914 -1.8673 -3.1652
O -5.4528 2.9947 -2.4101
O -3.1777 -3.9139 -0.9933
Mg -3.3792 0.4085 1.0286
```

Summary:
The value obtained for the density of states at the Fermi level is 3.6 states/eV/f.u. Its total magnetic moment is 0.00 μB/f.u. The total energy is -5.669 eV/atom.


[7]
## SmErLuTh (GGA-PBE)

Data for an optimized crystal structure of SmErLuTh.

Structure (extended XYZ):
```
4
Lattice="5.6450 0.0000 0.0000 2.8225 4.8887 0.0000 2.8225 1.6296 4.6092" Properties=species:S:1:pos:R:3 pbc="T T T"
Er 5.6450 3.2592 2.3046
Lu 0.0000 0.0000 0.0000
Th 8.4676 4.8887 3.4569
Sm 2.8225 1.6296 1.1523
```

Summary:
The value obtained for the density of states at the Fermi level is 7.6 states/eV/f.u. The energy of formation from the pure elements is 0.12 eV/atom. Its total magnetic moment is 0.02 μB/f.u.


[8]
## LaHo2ThBi5 (GGA-PBE)

Data for an optimized crystal structure of LaHo2ThBi5.

Structure (extended XYZ):
```
9
Lattice="5.7135 0.0000 0.0000 0.0000 5.7135 0.0000 0.0000 0.0000 12.1801" Properties=species:S:1:pos:R:3 pbc="T T T"
Ho 2.8567 2.8567 8.9824
Ho 2.8567 2.8567 3.1977
Bi 0.0000 0.0000 3.0025
Bi 0.0000 0.0000 9.1776
Bi 0.0000 2.8567 6.0900
Bi 2.8567 0.0000 6.0900
Bi 2.8567 2.8567 0.0000
La 0.0000 0.0000 0.0000
Th 0.0000 0.0000 6.0900
```

Summary:
The value obtained for the density of states at the Fermi level is 5.9 states/eV/f.u. The energy of formation from the pure elements is 0.18 eV/atom. Its total magnetic moment is 0.00 μB/f.u.


[9]
## NbTlH (GGA-PBE)

Data for an optimized crystal structure of NbTlH.

Structure (extended XYZ):
```
6
Lattice="-2.9649 0.8823 -0.6592 -0.6605 0.6349 -2.9953 -4.7264 -10.8306 1.8791" Properties=species:S:1:pos:R:3 pbc="T T T"
Tl -3.7251 0.5807 -3.2389
Tl -2.2815 -3.4851 -0.7132
H -3.3912 -5.7517 0.8594
H -6.1365 -8.5362 -1.5158
Nb -6.5127 -7.9529 0.3667
Nb -4.8024 -5.9497 -0.4697
```

Summary:
The value obtained for the density of states at the Fermi level is 1.4 states/eV/f.u. Its total magnetic moment is 0.00 μB/f.u. The total energy is -5.217 eV/atom.


[10]
## TmMnNi2 (GGA-PBE)

Data for an optimized crystal structure of TmMnNi2.

Structure (extended XYZ):
```
4
Lattice="-3.7139 2.3940 -0.3566 -3.8412 -1.6322 1.4941 -1.8814 1.7254 3.6242" Properties=species:S:1:pos:R:3 pbc="T T T"
Mn -4.7183 1.2436 2.3809
Ni -2.3591 0.6218 1.1904
Ni -7.0774 1.8654 3.5713
Tm 0.0000 0.0000 0.0000
```

Summary:
The value obtained for the density of states at the Fermi level is 3.4 states/eV/f.u. The energy of formation from the pure elements is -0.19 eV/atom. Its total magnetic moment is 4.49 μB/f.u.


[11]
## Th4Cd5Tc2 (GGA-PBE)

Data for an optimized crystal structure of Th4Cd5Tc2.

Structure (extended XYZ):
```
11
Lattice="3.7790 0.0000 0.0000 0.0000 7.9080 -0.0252 0.0000 -0.7965 9.6907" Properties=species:S:1:pos:R:3 pbc="T T T"
Th 1.8895 1.3203 4.3314
Th 1.8895 6.4299 1.4819
Th 1.8895 5.7913 5.3341
Th 1.8895 0.6816 8.1836
Tc 0.0000 6.9928 3.3902
Tc 0.0000 0.1187 6.2752
Cd 0.0000 3.9540 -0.0126
Cd 0.0000 5.7615 8.2337
Cd 0.0000 1.3500 1.4318
Cd 0.0000 4.0006 3.1091
Cd 0.0000 3.1109 6.5564
```

Summary:
The value obtained for the density of states at the Fermi level is 9.9 states/eV/f.u. The energy of formation from the pure elements is -0.13 eV/atom. Its total magnetic moment is 0.00 μB/f.u.


[12]
## ZrV2Cu (GGA-PBE)

Data for an optimized crystal structure of ZrV2Cu.

Structure (extended XYZ):
```
4
Lattice="-2.8002 -1.9604 -2.8021 -4.1829 1.3994 -0.2851 -1.3720 2.1429 -3.6141" Properties=species:S:1:pos:R:3 pbc="T T T"
V -2.0888 0.3955 -1.6753
V -6.2663 1.1864 -5.0259
Cu 0.0000 0.0000 0.0000
Zr -4.1775 0.7909 -3.3506
```

Summary:
The value obtained for the density of states at the Fermi level is 5.3 states/eV/f.u. The energy of formation from the pure elements is 0.33 eV/atom. Its total magnetic moment is 0.00 μB/f.u.


[13]
## SmDyTm14 (GGA-PBE)

Data for an optimized crystal structure of SmDyTm14.

Structure (extended XYZ):
```
16
Lattice="6.8500 -0.1253 0.0000 -2.0311 6.5432 0.0000 0.0000 0.0000 10.9596" Properties=species:S:1:pos:R:3 pbc="T T T"
Tm 2.6733 5.0672 5.4798
Tm -1.1021 5.8457 0.0000
Tm 4.5281 3.7288 2.7209
Tm 1.0511 4.2289 8.4225
Tm 5.9807 0.5274 2.9052
Tm 4.5281 3.7288 8.2388
Tm -0.4933 2.4345 0.0000
Tm 2.5012 1.0294 2.7209
Tm 0.6986 2.4372 5.4798
Tm 2.3435 6.2126 0.0000
Tm 1.0511 4.2289 2.5371
Tm 2.8950 2.8444 0.0000
Tm 2.5012 1.0294 8.2388
Tm 5.9807 0.5274 8.0544
Sm 4.1636 1.8918 5.4798
Dy -0.7494 5.5808 5.4798
```

Summary:
The value obtained for the density of states at the Fermi level is 29.6 states/eV/f.u. The energy of formation from the pure elements is 0.06 eV/atom. Its total magnetic moment is 0.00 μB/f.u.


[14]
## AcPm2Cu2Sn2 (GGA-PBE)

Data for an optimized crystal structure of AcPm2Cu2Sn2.

Structure (extended XYZ):
```
7
Lattice="-3.2473 -0.6681 3.2856 -4.1943 -1.6798 -1.1715 0.8138 -9.9755 2.0914" Properties=species:S:1:pos:R:3 pbc="T T T"
Pm -0.4864 -6.3472 1.5441
Pm -6.1414 -5.9761 2.6614
Ac 0.0000 0.0000 0.0000
Sn -1.7437 -2.8389 1.0149
Sn -4.8841 -9.4845 3.1906
Cu -2.5040 -8.4217 2.4436
Cu -4.1238 -3.9017 1.7618
```

Summary:
The value obtained for the density of states at the Fermi level is 3.5 states/eV/f.u. The energy of formation from the pure elements is -0.42 eV/atom. Its total magnetic moment is 0.00 μB/f.u.


[15]
## Zn4AgPd5 (GGA-PBE)

Data for an optimized crystal structure of Zn4AgPd5.

Structure (extended XYZ):
```
10
Lattice="2.9228 0.0000 0.0000 0.0000 2.9228 0.0000 0.0000 0.0000 17.4008" Properties=species:S:1:pos:R:3 pbc="T T T"
Zn 0.0000 0.0000 6.9980
Zn 0.0000 0.0000 3.6084
Zn 0.0000 0.0000 10.4028
Zn 0.0000 0.0000 13.7925
Pd 1.4614 1.4614 2.0030
Pd 1.4614 1.4614 15.3978
Pd 1.4614 1.4614 12.0894
Pd 1.4614 1.4614 8.7004
Pd 1.4614 1.4614 5.3114
Ag 0.0000 0.0000 0.0000
```

Summary:
The value obtained for the density of states at the Fermi level is 1.7 states/eV/f.u. The energy of formation from the pure elements is -0.47 eV/atom. Its total magnetic moment is 0.00 μB/f.u.


[16]
## ThMgSiO (GGA-PBE)

Data for an optimized crystal structure of ThMgSiO.

Structure (extended XYZ):
```
8
Lattice="4.1029 0.0000 0.0000 0.0000 4.1029 0.0000 0.0000 0.0000 8.9338" Properties=species:S:1:pos:R:3 pbc="T T T"
Th 0.0000 2.0515 7.6402
Th 2.0515 0.0000 1.2936
Mg 2.0515 2.0515 4.4669
Mg 0.0000 0.0000 4.4669
O 0.0000 0.0000 0.0000
O 2.0515 2.0515 0.0000
Si 2.0515 0.0000 6.2149
Si 0.0000 2.0515 2.7189
```

Summary:
The value obtained for the density of states at the Fermi level is 0.3 states/eV/f.u. Its total magnetic moment is 0.00 μB/f.u. The total energy is -6.505 eV/atom.


[17]
## HfMgRu3 (GGA-PBE)

Data for an optimized crystal structure of HfMgRu3.

Structure (extended XYZ):
```
5
Lattice="4.7872 0.0000 0.0000 0.0000 4.7872 0.0000 0.0000 0.0000 4.7872" Properties=species:S:1:pos:R:3 pbc="T T T"
Ru 2.3936 0.0000 0.0000
Ru 0.0000 0.0000 2.3936
Ru 0.0000 2.3936 0.0000
Mg 2.3936 2.3936 2.3936
Hf 0.0000 0.0000 0.0000
```

Summary:
The value obtained for the density of states at the Fermi level is 5.8 states/eV/f.u. The energy of formation from the pure elements is 1.21 eV/atom. Its total magnetic moment is 3.28 μB/f.u.


[18]
## Ho8InAg2 (GGA-PBE)

Data for an optimized crystal structure of Ho8InAg2.

Structure (extended XYZ):
```
11
Lattice="5.3855 -0.1906 -0.2861 -1.1704 8.2474 -0.4636 -1.1704 -3.6043 7.4326" Properties=species:S:1:pos:R:3 pbc="T T T"
Ho 2.8218 1.7045 2.5584
Ho 2.9838 2.1173 6.1777
Ho 0.0609 -0.4332 2.3495
Ho 1.5224 -0.9967 5.4886
Ho 0.2230 2.7479 4.1244
Ho 2.9838 4.8857 4.3333
Ho 0.0609 2.3351 0.5051
Ho 1.5224 5.4491 1.1941
Ag -1.1704 0.0048 5.0280
Ag -1.1704 4.6383 1.9409
In 2.6928 -0.0953 -0.1431
```

Summary:
The value obtained for the density of states at the Fermi level is 15.4 states/eV/f.u. The energy of formation from the pure elements is -0.07 eV/atom. Its total magnetic moment is 0.00 μB/f.u.